A plane-wave DFT calculation with GGA-PBE was carried out for a relaxed Ba8GeAu2 crystal.

Values from the calculation:
- Crystal system: monoclinic
- ΔE_f: -332.2 meV/atom

Lattice parameters (Å, degrees): 7.662 8.806 8.806 110.25 100.53 100.53
Positions (direct):
Ba 0.352 0.658 0.931
Ba 0.352 0.931 0.658
Ba 0.984 0.190 0.806
Ba 0.587 0.347 0.076
Ba 0.186 0.356 0.356
Ba 0.587 0.076 0.347
Ba 0.984 0.806 0.190
Ba 0.780 0.644 0.644
Au 0.478 0.324 0.683
Au 0.478 0.683 0.324
Ge 0.233 0.020 0.020